# Pr4Nd5Co2 (PBE, relaxed)
data_Pr4Nd5Co2
_symmetry_space_group_name_H-M 'P 1'
_symmetry_Int_Tables_number 1
_symmetry_space_group_name_Hall 'P 1'
_cell_length_a 9.146
_cell_length_b 3.682
_cell_length_c 10.177
_cell_angle_alpha 90.00
_cell_angle_beta 93.12
_cell_angle_gamma 90.00
loop_
_atom_site_label
_atom_site_fract_x
_atom_site_fract_y
_atom_site_fract_z
Pr1 0.172 0.000 0.324
Pr2 0.187 0.000 0.967
Pr3 0.813 0.000 0.033
Pr4 0.828 0.000 0.676
Nd1 0.160 0.500 0.653
Nd2 0.470 0.500 0.167
Nd3 0.500 0.500 0.500
Nd4 0.530 0.500 0.833
Nd5 0.840 0.500 0.347
Co1 0.040 0.500 0.143
Co2 0.960 0.500 0.857
# Space-group type: No. 10
# Energy relative to the elements (eV/f.u.): 0.820
# Total magnetization (μB per atom): 0.000


# Pr4NdCo2 (PBE, relaxed)
data_Pr4NdCo2
_symmetry_space_group_name_H-M 'P 1'
_symmetry_Int_Tables_number 1
_symmetry_space_group_name_Hall 'P 1'
_cell_length_a 7.082
_cell_length_b 6.826
_cell_length_c 9.049
_cell_angle_alpha 90.00
_cell_angle_beta 113.03
_cell_angle_gamma 90.00
loop_
_atom_site_label
_atom_site_fract_x
_atom_site_fract_y
_atom_site_fract_z
Pr1 0.023 0.250 0.293
Pr2 0.283 0.000 0.066
Pr3 0.283 0.500 0.066
Pr4 0.332 0.750 0.500
Pr5 0.668 0.250 0.500
Pr6 0.717 0.000 0.934
Pr7 0.717 0.500 0.934
Pr8 0.977 0.750 0.707
Nd1 0.231 0.250 0.709
Nd2 0.769 0.750 0.291
Co1 0.037 0.750 0.164
Co2 0.374 0.750 0.836
Co3 0.626 0.250 0.164
Co4 0.963 0.250 0.836
# Space-group type: No. 11
# Energy relative to the elements (eV/f.u.): 0.079
# Total magnetization (μB per atom): 0.000


# PrNd4Co (PBE, relaxed)
data_PrNd4Co
_symmetry_space_group_name_H-M 'P 1'
_symmetry_Int_Tables_number 1
_symmetry_space_group_name_Hall 'P 1'
_cell_length_a 9.747
_cell_length_b 9.747
_cell_length_c 6.064
_cell_angle_alpha 108.10
_cell_angle_beta 108.10
_cell_angle_gamma 44.82
loop_
_atom_site_label
_atom_site_fract_x
_atom_site_fract_y
_atom_site_fract_z
Pr1 0.197 0.197 0.199
Pr2 0.803 0.803 0.801
Nd1 0.132 0.634 0.382
Nd2 0.236 0.764 0.000
Nd3 0.327 0.327 0.827
Nd4 0.366 0.868 0.618
Nd5 0.634 0.132 0.382
Nd6 0.673 0.673 0.173
Nd7 0.764 0.236 0.000
Nd8 0.868 0.366 0.618
Co1 0.499 0.499 0.315
Co2 0.501 0.501 0.685
# Space-group type: No. 12
# Energy above the most stable polymorph in this dataset (meV/atom): 0
# Energy relative to the elements (eV/f.u.): 0.109
# Total magnetization (μB per atom): 0.000


# PrNd2Co (PBE, relaxed)
data_PrNd2Co
_symmetry_space_group_name_H-M 'P 1'
_symmetry_Int_Tables_number 1
_symmetry_space_group_name_Hall 'P 1'
_cell_length_a 10.759
_cell_length_b 10.759
_cell_length_c 10.759
_cell_angle_alpha 20.00
_cell_angle_beta 20.00
_cell_angle_gamma 20.00
loop_
_atom_site_label
_atom_site_fract_x
_atom_site_fract_y
_atom_site_fract_z
Pr1 0.000 0.000 0.000
Nd1 0.114 0.114 0.114
Nd2 0.886 0.886 0.886
Co1 0.500 0.500 0.500
# Space-group type: No. 166
# Energy above the most stable polymorph in this dataset (meV/atom): 247
# Energy relative to the elements (eV/f.u.): 0.755
# Total magnetization (μB per atom): 0.124


no.,volume (A^3/atom)
1,31.11
2,28.76
3,31.87
4,31.86